# Cr2CdMoO (PBE+U, relaxed)
data_Cr2CdMoO
_symmetry_space_group_name_H-M 'P 1'
_symmetry_Int_Tables_number 1
_cell_length_a 5.220
_cell_length_b 5.220
_cell_length_c 5.497
_cell_angle_alpha 90.00
_cell_angle_beta 90.00
_cell_angle_gamma 90.00
loop_
_symmetry_equiv_pos_as_xyz
'x,y,z'
loop_
_atom_site_label
_atom_site_fract_x
_atom_site_fract_y
_atom_site_fract_z
Cr1 0.000 0.500 0.000
Cr2 0.500 0.000 0.000
Cd1 0.000 0.000 0.000
Mo1 0.000 0.000 0.500
O1 0.500 0.500 0.500
# - V (Å³ per atom) = 29.95
# - spin magnetization (μB/cell) = 13.51
# - uncorrected energy (eV/atom) = -3.91

# Cr2Cd2MoO6 (PBE+U, relaxed)
data_Cr2Cd2MoO6
_symmetry_space_group_name_H-M 'P 1'
_symmetry_Int_Tables_number 1
_cell_length_a 5.281
_cell_length_b 5.281
_cell_length_c 6.670
_cell_angle_alpha 98.80
_cell_angle_beta 98.80
_cell_angle_gamma 118.28
loop_
_symmetry_equiv_pos_as_xyz
'x,y,z'
loop_
_atom_site_label
_atom_site_fract_x
_atom_site_fract_y
_atom_site_fract_z
Cr1 0.166 0.834 0.000
Cr2 0.834 0.166 0.000
Cd1 0.183 0.817 0.500
Cd2 0.817 0.183 0.500
Mo1 0.500 0.500 0.000
O1 0.097 0.097 0.830
O2 0.219 0.554 0.160
O3 0.446 0.781 0.840
O4 0.554 0.219 0.160
O5 0.781 0.446 0.840
O6 0.903 0.903 0.170
# - V (Å³ per atom) = 14.22
# - spin magnetization (μB/cell) = 7.75
# - uncorrected energy (eV/atom) = -6.26

What did the second record say?
# Cr2Cd2MoO6 (PBE+U, relaxed)
data_Cr2Cd2MoO6
_symmetry_space_group_name_H-M 'P 1'
_symmetry_Int_Tables_number 1
_cell_length_a 5.281
_cell_length_b 5.281
_cell_length_c 6.670
_cell_angle_alpha 98.80
_cell_angle_beta 98.80
_cell_angle_gamma 118.28
loop_
_symmetry_equiv_pos_as_xyz
'x,y,z'
loop_
_atom_site_label
_atom_site_fract_x
_atom_site_fract_y
_atom_site_fract_z
Cr1 0.166 0.834 0.000
Cr2 0.834 0.166 0.000
Cd1 0.183 0.817 0.500
Cd2 0.817 0.183 0.500
Mo1 0.500 0.500 0.000
O1 0.097 0.097 0.830
O2 0.219 0.554 0.160
O3 0.446 0.781 0.840
O4 0.554 0.219 0.160
O5 0.781 0.446 0.840
O6 0.903 0.903 0.170
# - V (Å³ per atom) = 14.22
# - spin magnetization (μB/cell) = 7.75
# - uncorrected energy (eV/atom) = -6.26

Question: Number 2 is which compound?
Answer: Cr2Cd2MoO6

Question: Which of these has the highest uncorrected energy?
Answer: Cr2CdMoO